# SCAN SrMnGa2Co, PBEsol geometry
data_SrMnGa2Co
_cell_length_a 4.5796
_cell_length_b 5.4445
_cell_length_c 5.4445
_cell_angle_alpha 90.00
_cell_angle_beta 90.00
_cell_angle_gamma 90.00
_symmetry_space_group_name_H-M 'P 1'
_symmetry_Int_Tables_number 1
loop_
_symmetry_equiv_pos_as_xyz
'x,y,z'
loop_
_atom_site_label
_atom_site_type_symbol
_atom_site_fract_x
_atom_site_fract_y
_atom_site_fract_z
Sr1 Sr 0.0000 0.0000 0.0000
Mn1 Mn 0.5000 0.5000 0.5000
Co1 Co 0.5000 0.0000 0.0000
Ga1 Ga 0.0000 0.0000 0.5000
Ga2 Ga 0.0000 0.5000 0.0000
# energy relative to the elements	1554	meV per atom
# E	-16.552	eV per atom